DFT (GGA-PBE) results for a relaxed structure of Ca2P2Ru2N.

As for the density of states at the Fermi level: 2.84 states/eV/f.u. The value obtained for the density is 4.9 g cm⁻³. The formation energy without anion corrections comes out at -0.810 eV/atom. For the electronic total energy, the calculation gives -6.77 eV/atom.

Lattice parameters (Å, degrees): 11.332 3.805 6.772 90.00 124.58 90.00
Fractional coordinates of all 14 atoms:
Ca (0.063, 0.000, 0.306)
Ca (0.437, 0.500, 0.694)
Ca (0.563, 0.500, 0.306)
Ca (0.937, 0.000, 0.694)
P (0.180, 0.500, 0.717)
P (0.320, 0.000, 0.283)
P (0.680, 0.000, 0.717)
P (0.820, 0.500, 0.283)
Ru (0.190, 0.500, 0.076)
Ru (0.310, 0.000, 0.924)
Ru (0.690, 0.000, 0.076)
Ru (0.810, 0.500, 0.924)
N (0.000, 0.500, 0.000)
N (0.500, 0.000, 0.000)